1.
DFT (PBE) results for crystalline Er4BiP2 at its relaxed geometry.

Size of the total moment in μB/cell: 0.0
Calculated formation energy in kJ/mol of formula units: -794.1

Unit cell a=6.8510 b=6.8510 c=13.4380 alpha=90.00 beta=90.00 gamma=145.29
Atoms (fractional coordinates):
Er 0.0000 0.0000 0.0000
Er 0.0000 0.0000 0.5000
Er 0.2616 0.7384 0.6152
Er 0.2616 0.7384 0.8848
Er 0.4308 0.5692 0.2500
Er 0.5692 0.4308 0.7500
Er 0.7384 0.2616 0.1152
Er 0.7384 0.2616 0.3848
Bi 0.1083 0.8917 0.2500
Bi 0.8917 0.1083 0.7500
P 0.3666 0.6334 0.0574
P 0.3666 0.6334 0.4426
P 0.6334 0.3666 0.5574
P 0.6334 0.3666 0.9426

=====

2.
DFT (PBE) results for crystalline LaSm6Cd2 at its relaxed geometry.

Size of the total moment in μB/cell: 0.0
Calculated formation energy in kJ/mol of formula units: -113.6

Unit cell a=6.7360 b=6.7360 c=12.1975 alpha=107.52 beta=107.52 gamma=33.02
Atoms (fractional coordinates):
La 0.0000 0.0000 0.0000
Sm 0.0169 0.0169 0.3395
Sm 0.3132 0.3132 0.4166
Sm 0.3148 0.3148 0.1243
Sm 0.6852 0.6852 0.8757
Sm 0.6868 0.6868 0.5834
Sm 0.9831 0.9831 0.6605
Cd 0.3488 0.3488 0.7850
Cd 0.6512 0.6512 0.2150

=====

3.
DFT (PBE) results for crystalline Ge3CI at its relaxed geometry.

Formation energy from raw total energies in eV per formula unit: 5.5
Size of the total moment in μB/cell: 0.0

Unit cell a=4.6719 b=4.6719 c=4.6719 alpha=90.00 beta=90.00 gamma=90.00
Atoms (fractional coordinates):
Ge 0.0000 0.0000 0.5000
Ge 0.0000 0.5000 0.0000
Ge 0.5000 0.0000 0.0000
C 0.0000 0.0000 0.0000
I 0.5000 0.5000 0.5000